First-principles (PBE) data for a geometry-optimized LaEr5S6 structure, as listed in Alexandria via LeMat-Bulk.

For the formation energy from raw total energies, the calculation gives -1.98 eV per atom. The calculation puts the total magnetic moment at 0.0 μB per formula unit. Its density of states at the Fermi level is 8.910 states/eV per cell.

The structure belongs to space group C2/m (No. 12); the cell edges are 6.779, 11.767 and 6.773 Å and the angles 90.00°, 109.73° and 90.00°. Symmetry generates all atoms from La at (0.000, 0.000, 0.000), Er at (0.000, 0.161, 0.500), Er at (0.000, 0.334, 0.000), Er at (0.000, 0.500, 0.500), S at (0.238, 0.500, 0.255) and S at (0.240, 0.326, 0.741).

First-principles (PBE) data for a geometry-optimized LaEr4S6 structure, as listed in Alexandria via LeMat-Bulk.

For the formation energy from raw total energies, the calculation gives -2.07 eV per atom. The calculation puts the total magnetic moment at 0.0 μB per formula unit. Its density of states at the Fermi level is 12.347 states/eV per cell.

The structure belongs to space group Cmcm (No. 63); the cell edges are 3.881, 12.781 and 19.740 Å and the angles 90.00°, 90.00° and 90.00°. Symmetry generates all atoms from La at (0.000, 0.156, 0.250), Er at (0.000, 0.093, 0.625), Er at (0.000, 0.361, 0.539), S at (0.000, 0.000, 0.000), S at (0.000, 0.180, 0.750), S at (0.000, 0.267, 0.089) and S at (0.000, 0.456, 0.663).

Repeat the second record exactly.
First-principles (PBE) data for a geometry-optimized LaEr4S6 structure, as listed in Alexandria via LeMat-Bulk.

For the formation energy from raw total energies, the calculation gives -2.07 eV per atom. The calculation puts the total magnetic moment at 0.0 μB per formula unit. Its density of states at the Fermi level is 12.347 states/eV per cell.

The structure belongs to space group Cmcm (No. 63); the cell edges are 3.881, 12.781 and 19.740 Å and the angles 90.00°, 90.00° and 90.00°. Symmetry generates all atoms from La at (0.000, 0.156, 0.250), Er at (0.000, 0.093, 0.625), Er at (0.000, 0.361, 0.539), S at (0.000, 0.000, 0.000), S at (0.000, 0.180, 0.750), S at (0.000, 0.267, 0.089) and S at (0.000, 0.456, 0.663).